1.
Entry from Alexandria via LeMat-Bulk: a relaxed structure of CsSbI2N (GGA-PBEsol).

abc: 4.4274 6.6942 6.6942
angles: 90.00 90.00 90.00
Last column: nearest neighbours and their distance in Å.
Fractional coordinates of all 5 atoms:
Cs: 0.0000 0.0000 0.0000  2 N 2.21
I: 0.0000 0.0000 0.5000  2 Cs 3.35
N: 0.5000 0.0000 0.0000  2 Cs 2.21
I: 0.0000 0.5000 0.0000  2 Cs 3.35
Sb: 0.5000 0.5000 0.5000  8 I 4.01, 2 Sb 4.43

Calculated values
**E**: -11.2 eV per cell
**Formation energy from raw total energies**: 122.48 kJ/mol of atoms

2.
Entry from Alexandria via LeMat-Bulk: a relaxed structure of Cu3Ge (GGA-PBEsol).

abc: 4.1615 4.5047 5.1905
angles: 90.00 90.00 90.00
Last column: nearest neighbours and their distance in Å.
Fractional coordinates of all 8 atoms:
Cu: 0.5000 0.8340 0.0000  8 Cu 2.57-2.60, 4 Ge 2.58-2.60
Cu: 0.0000 0.6640 0.7486  8 Cu 2.55-2.61, 4 Ge 2.55-2.64
Cu: 0.0000 0.1660 0.5000  8 Cu 2.57-2.60, 4 Ge 2.58-2.60
Cu: 0.5000 0.3360 0.7514  8 Cu 2.55-2.61, 4 Ge 2.55-2.64
Cu: 0.0000 0.6640 0.2514  8 Cu 2.55-2.61, 4 Ge 2.55-2.64
Ge: 0.0000 0.1740 0.0000  12 Cu 2.55-2.64
Cu: 0.5000 0.3360 0.2486  8 Cu 2.55-2.61, 4 Ge 2.55-2.64
Ge: 0.5000 0.8260 0.5000  12 Cu 2.55-2.64

Calculated values
**E**: -36.2 eV per cell

3.
Entry from Alexandria via LeMat-Bulk: a relaxed structure of NaCBr2 (GGA-PBEsol).

abc: 4.8645 4.8645 4.8645
angles: 60.00 60.00 60.00
Last column: nearest neighbours and their distance in Å.
Fractional coordinates of all 4 atoms:
Br: 0.7500 0.7500 0.7500  4 C 2.98, 4 Na 2.98
C: 0.0000 0.0000 0.0000  8 Br 2.98
Br: 0.2500 0.2500 0.2500  4 Na 2.98, 4 C 2.98
Na: 0.5000 0.5000 0.5000  8 Br 2.98

Calculated values
**E**: -10.7 eV per cell
**Formation energy from raw total energies**: 98.89 kJ/mol of atoms

4.
Entry from Alexandria via LeMat-Bulk: a relaxed structure of HgAsPb (GGA-PBEsol).

abc: 4.9365 4.9365 4.9365
angles: 60.00 60.00 60.00
Last column: nearest neighbours and their distance in Å.
Fractional coordinates of all 3 atoms:
Hg: 0.5000 0.5000 0.5000  4 Pb 3.02
Pb: 0.2500 0.2500 0.2500  4 Hg 3.02, 4 As 3.02
As: 0.0000 0.0000 0.0000  4 Pb 3.02

Calculated values
**E**: -8.8 eV per cell

5.
Entry from Alexandria via LeMat-Bulk: a relaxed structure of LaTaBiAu2 (GGA-PBEsol).

abc: 5.2170 5.2170 5.3005
angles: 90.00 90.00 90.00
Last column: nearest neighbours and their distance in Å.
Fractional coordinates of all 5 atoms:
Bi: 0.0000 0.0000 0.0000  4 Au 2.61, 2 Ta 2.65
Ta: 0.0000 0.0000 0.5000  2 Bi 2.65
Au: 0.0000 0.5000 0.0000  2 Bi 2.61
La: 0.5000 0.5000 0.5000  4 Ta 3.69, 8 Au 3.72
Au: 0.5000 0.0000 0.0000  2 Bi 2.61

Calculated values
**E**: -25.7 eV per cell

6.
Entry from Alexandria via LeMat-Bulk: a relaxed structure of FeCoNi2 (GGA-PBEsol).

abc: 2.4356 3.5420 4.8958
angles: 90.00 90.00 90.00
Last column: nearest neighbours and their distance in Å.
Fractional coordinates of all 4 atoms:
Fe: 0.5000 0.5000 0.5000  2 Fe 2.44, 2 Co 2.45, 8 Ni 2.48
Ni: 0.0000 0.0000 0.7540  4 Ni 2.41-2.49, 4 Co 2.46, 4 Fe 2.48
Co: 0.5000 0.5000 0.0000  2 Co 2.44, 2 Fe 2.45, 8 Ni 2.46
Ni: 0.0000 0.0000 0.2460  4 Ni 2.41-2.49, 4 Co 2.46, 4 Fe 2.48

Calculated values
**E**: -29.1 eV per cell

7.
Entry from Alexandria via LeMat-Bulk: a relaxed structure of ZrZn3I (GGA-PBEsol).

abc: 5.3013 5.3013 5.3013
angles: 90.00 90.00 90.00
Last column: nearest neighbours and their distance in Å.
Fractional coordinates of all 5 atoms:
Zn: 0.5000 0.0000 0.0000  2 Zr 2.65
Zn: 0.0000 0.0000 0.5000  2 Zr 2.65
Zn: 0.0000 0.5000 0.0000  2 Zr 2.65
I: 0.5000 0.5000 0.5000  12 Zn 3.75
Zr: 0.0000 0.0000 0.0000  6 Zn 2.65

Calculated values
**E**: -11.3 eV per cell
**Formation energy from raw total energies**: 83.98 kJ/mol of atoms
**ΔE to the lowest computed polymorph**: 0 meV per atom

8.
Entry from Alexandria via LeMat-Bulk: a relaxed structure of Nb2PbBr (GGA-PBEsol).

abc: 4.7744 4.7744 4.7744
angles: 60.00 60.00 60.00
Last column: nearest neighbours and their distance in Å.
Fractional coordinates of all 4 atoms:
Pb: 0.5000 0.5000 0.5000  8 Nb 2.92
Nb: 0.2500 0.2500 0.2500  4 Br 2.92, 4 Pb 2.92
Nb: 0.7500 0.7500 0.7500  4 Pb 2.92, 4 Br 2.92
Br: 0.0000 0.0000 0.0000  8 Nb 2.92

Calculated values
**E**: -25.7 eV per cell
**Formation energy from raw total energies**: 44.35 kJ/mol of atoms

9.
Entry from Alexandria via LeMat-Bulk: a relaxed structure of NbCuCl2 (GGA-PBEsol).

abc: 4.3824 4.3824 4.3824
angles: 60.00 60.00 60.00
Last column: nearest neighbours and their distance in Å.
Fractional coordinates of all 4 atoms:
Cl: 0.7500 0.7500 0.7500  4 Nb 2.68, 4 Cu 2.68
Cu: 0.0000 0.0000 0.0000  8 Cl 2.68
Nb: 0.5000 0.5000 0.5000  8 Cl 2.68
Cl: 0.2500 0.2500 0.2500  4 Cu 2.68, 4 Nb 2.68

Calculated values
**E**: -18.6 eV per cell
**Formation energy from raw total energies**: 14.74 kJ/mol of atoms

10.
Entry from Alexandria via LeMat-Bulk: a relaxed structure of YSb2BrF (GGA-PBEsol).

abc: 4.1052 6.0342 6.0342
angles: 90.00 90.00 90.00
Last column: nearest neighbours and their distance in Å.
Fractional coordinates of all 5 atoms:
F: 0.5000 0.0000 0.0000  2 Y 2.05
Sb: 0.0000 0.5000 0.0000  2 Y 3.02
Br: 0.5000 0.5000 0.5000  8 Sb 3.65
Sb: 0.0000 0.0000 0.5000  2 Y 3.02
Y: 0.0000 0.0000 0.0000  2 F 2.05

Calculated values
**E**: -24.1 eV per cell
**Formation energy from raw total energies**: -83.86 kJ/mol of atoms

11.
Entry from Alexandria via LeMat-Bulk: a relaxed structure of Re2RhF (GGA-PBEsol).

abc: 4.2078 4.2078 4.2078
angles: 60.00 60.00 60.00
Last column: nearest neighbours and their distance in Å.
Fractional coordinates of all 4 atoms:
Rh: 0.5000 0.5000 0.5000  8 Re 2.58
F: 0.0000 0.0000 0.0000  8 Re 2.58
Re: 0.7500 0.7500 0.7500  4 Rh 2.58, 4 F 2.58
Re: 0.2500 0.2500 0.2500  4 Rh 2.58, 4 F 2.58

Calculated values
**E**: -35.2 eV per cell
**Formation energy from raw total energies**: 36.29 kJ/mol of atoms

12.
Entry from Alexandria via LeMat-Bulk: a relaxed structure of InBiS3 (GGA-PBEsol).

abc: 3.8724 6.5311 9.7709
angles: 91.66 90.00 90.00
Last column: nearest neighbours and their distance in Å.
Fractional coordinates of all 10 atoms:
S: 0.2500 0.0771 0.8524  3 In 2.60-2.62
In: 0.2500 0.7556 0.0064  6 S 2.60-2.70
S: 0.2500 0.7538 0.5114  3 Bi 2.69-2.73
S: 0.7500 0.2462 0.4886  3 Bi 2.69-2.73
S: 0.7500 0.5767 0.8511  3 In 2.61-2.70
In: 0.7500 0.2444 0.9936  6 S 2.60-2.70
Bi: 0.2500 0.3993 0.6525  6 S 2.69-2.95
S: 0.7500 0.9229 0.1476  3 In 2.60-2.62
S: 0.2500 0.4233 0.1489  3 In 2.61-2.70
Bi: 0.7500 0.6007 0.3475  6 S 2.69-2.95

Calculated values
**E**: -45.6 eV per cell
**Formation energy from raw total energies**: -45.66 kJ/mol of atoms

13.
Entry from Alexandria via LeMat-Bulk: a relaxed structure of Ca3AlAs3 (GGA-PBEsol).

abc: 4.1722 12.1376 13.2591
angles: 90.00 90.00 90.00
Last column: nearest neighbours and their distance in Å.
Fractional coordinates of all 28 atoms:
As: 0.7500 0.7518 0.3760  1 Al 2.50
As: 0.7500 0.3958 0.3866  1 Al 2.50
Ca: 0.2500 0.8518 0.5005  5 As 2.92-3.14
As: 0.7500 0.9583 0.6479  2 Al 2.53
Ca: 0.2500 0.3518 0.9995  5 As 2.92-3.14
As: 0.2500 0.6042 0.6134  1 Al 2.50
As: 0.2500 0.7482 0.8760  1 Al 2.50
As: 0.2500 0.0417 0.3521  2 Al 2.53
Ca: 0.7500 0.4339 0.6077  6 As 2.94-3.25
Al: 0.7500 0.9396 0.2978  4 As 2.50-2.53
As: 0.2500 0.1042 0.8866  1 Al 2.50
Ca: 0.7500 0.1482 0.4995  5 As 2.92-3.14
Ca: 0.2500 0.0661 0.1077  6 As 2.94-3.25
As: 0.7500 0.2518 0.1240  1 Al 2.50
Ca: 0.2500 0.7724 0.2127  5 As 2.89-3.02, 2 Al 3.12
As: 0.2500 0.5417 0.1479  2 Al 2.53
As: 0.7500 0.8958 0.1134  1 Al 2.50
Al: 0.7500 0.4396 0.2022  4 As 2.50-2.53
Ca: 0.7500 0.6482 0.0005  5 As 2.92-3.14
As: 0.7500 0.4583 0.8521  2 Al 2.53
Ca: 0.2500 0.5661 0.3923  6 As 2.94-3.25
Ca: 0.2500 0.2724 0.2873  5 As 2.89-3.02, 2 Al 3.12
Al: 0.2500 0.5604 0.7978  4 As 2.50-2.53
Ca: 0.7500 0.7276 0.7127  5 As 2.89-3.02, 2 Al 3.12
Ca: 0.7500 0.9339 0.8923  6 As 2.94-3.25
As: 0.2500 0.2482 0.6240  1 Al 2.50
Al: 0.2500 0.0604 0.7022  4 As 2.50-2.53
Ca: 0.7500 0.2276 0.7873  5 As 2.89-3.02, 2 Al 3.12

Calculated values
**E**: -133.3 eV per cell